*a*
Density functional theory data (GGA+U) for a relaxed structure of Mg6AlNiO8.

Calculated values
SG   P4/mmm (123)

abc: 4.1741 4.1741 8.8038
angles: 90.00 90.00 90.00
Last column: nearest neighbours and their distance in Å.
Fractional positions:
Mg  0.0000  0.5000  0.7561  6 O 2.10-2.25
Mg  0.5000  0.0000  0.2439  6 O 2.10-2.25
Mg  0.0000  0.5000  0.2439  6 O 2.10-2.25
Mg  0.0000  0.0000  0.5000  4 O 2.09
Mg  0.5000  0.5000  0.5000  6 O 2.02-2.09
Mg  0.5000  0.0000  0.7561  6 O 2.10-2.25
O  0.5000  0.5000  0.7291  5 Mg 2.02-2.10
O  0.0000  0.0000  0.2190  1 Al 1.93, 4 Mg 2.10
O  0.5000  0.5000  0.2709  5 Mg 2.02-2.10
O  0.0000  0.5000  0.5000  6 Mg 2.09-2.25
O  0.5000  0.0000  0.0000  2 Al 2.09, 2 Ni 2.09, 2 Mg 2.15
O  0.0000  0.0000  0.7810  1 Al 1.93, 4 Mg 2.10
O  0.0000  0.5000  0.0000  2 Al 2.09, 2 Ni 2.09, 2 Mg 2.15
O  0.5000  0.0000  0.5000  6 Mg 2.09-2.25
Ni  0.5000  0.5000  0.0000  4 O 2.09
Al  0.0000  0.0000  0.0000  6 O 1.93-2.09

***

*b*
Density functional theory data (GGA+U) for a relaxed structure of Mg6AlNiO8.

Calculated values
SG   P4/mmm (123)

abc: 4.1871 4.1871 8.7361
angles: 90.00 90.00 90.00
Last column: nearest neighbours and their distance in Å.
Fractional positions:
O  0.0000  0.5000  0.5000  2 Ni 2.09, 4 Mg 2.09-2.11
O  0.5000  0.0000  0.5000  4 Mg 2.09-2.11, 2 Ni 2.09
O  0.5000  0.5000  0.7503  6 Mg 2.09-2.19
O  0.0000  0.5000  0.0000  4 Mg 2.09-2.25, 2 Al 2.09
O  0.5000  0.0000  0.0000  4 Mg 2.09-2.25, 2 Al 2.09
O  0.0000  0.0000  0.2078  1 Al 1.82
O  0.5000  0.5000  0.2497  6 Mg 2.09-2.19
O  0.0000  0.0000  0.7922  1 Al 1.82
Al  0.0000  0.0000  0.0000  2 O 1.82
Mg  0.5000  0.0000  0.7419  6 O 2.09-2.25
Mg  0.5000  0.5000  0.0000  6 O 2.09-2.18
Mg  0.5000  0.0000  0.2581  6 O 2.09-2.25
Mg  0.5000  0.5000  0.5000  6 O 2.09-2.19
Mg  0.0000  0.5000  0.7419  6 O 2.09-2.25
Mg  0.0000  0.5000  0.2581  6 O 2.09-2.25
Ni  0.0000  0.0000  0.5000  4 O 2.09

***

How far above the most stable structure does each one sit? In meV/atom: *a* 54; *b* 0.